*a*
The following is a DFT calculation (PBE) of a relaxed Cd2AsF crystal.

Cell lengths 4.5115, 9.2315, 4.3067 Å; angles 90.00, 90.00, 90.00 degrees
With the nearest neighbours (Å) after each atom.
Element x y z (fractional)
1 Cd 0.0000 0.0623 0.0000  3 As 2.63-2.75
2 Cd 0.0000 0.6294 0.8637  3 F 2.32-2.44
3 Cd 0.5000 0.3706 0.3637  3 F 2.32-2.44
4 Cd 0.5000 0.9377 0.5000  3 As 2.63-2.75
5 As 0.0000 0.8107 0.3436  5 Cd 2.63-2.80
6 As 0.5000 0.1893 0.8436  5 Cd 2.63-2.80
7 F 0.0000 0.4581 0.4710  3 Cd 2.32-2.44
8 F 0.5000 0.5419 0.9710  3 Cd 2.32-2.44

Results
* crystal system: orthorhombic
* spin magnetization: 0.0000 μB/atom

---

*b*
The following is a DFT calculation (PBE) of a relaxed Cd2AsF crystal.

Cell lengths 6.6316, 6.6316, 6.6316 Å; angles 90.00, 90.00, 90.00 degrees
With the nearest neighbours (Å) after each atom.
Element x y z (fractional)
1 Cd 0.2500 0.2500 0.2500  4 F 2.87, 4 As 2.87
2 Cd 0.2500 0.2500 0.7500  4 F 2.87, 4 As 2.87
3 Cd 0.2500 0.7500 0.2500  4 F 2.87, 4 As 2.87
4 Cd 0.2500 0.7500 0.7500  4 F 2.87, 4 As 2.87
5 Cd 0.7500 0.2500 0.2500  4 F 2.87, 4 As 2.87
6 Cd 0.7500 0.2500 0.7500  4 F 2.87, 4 As 2.87
7 Cd 0.7500 0.7500 0.2500  4 F 2.87, 4 As 2.87
8 Cd 0.7500 0.7500 0.7500  4 As 2.87, 4 F 2.87
9 As 0.0000 0.0000 0.0000  8 Cd 2.87
10 As 0.0000 0.5000 0.5000  8 Cd 2.87
11 As 0.5000 0.0000 0.5000  8 Cd 2.87
12 As 0.5000 0.5000 0.0000  8 Cd 2.87
13 F 0.0000 0.0000 0.5000  8 Cd 2.87
14 F 0.0000 0.5000 0.0000  8 Cd 2.87
15 F 0.5000 0.0000 0.0000  8 Cd 2.87
16 F 0.5000 0.5000 0.5000  8 Cd 2.87

Results
* crystal system: cubic
* spin magnetization: 0.0000 μB/atom

---

*c*
The following is a DFT calculation (PBE) of a relaxed Cd2AsF crystal.

Cell lengths 4.3054, 4.3054, 20.3541 Å; angles 90.00, 90.00, 120.00 degrees
With the nearest neighbours (Å) after each atom.
Element x y z (fractional)
1 Cd 0.0000 0.0000 0.1063  1 F 2.16
2 Cd 0.0000 0.0000 0.8937  1 F 2.16
3 Cd 0.3333 0.6667 0.5603  1 F 2.16
4 Cd 0.3333 0.6667 0.7730  1 F 2.16
5 Cd 0.6667 0.3333 0.2270  1 F 2.16
6 Cd 0.6667 0.3333 0.4397  1 F 2.16
7 As 0.0000 0.0000 0.5000  6 Cd 2.77
8 As 0.3333 0.6667 0.1667  6 Cd 2.77
9 As 0.6667 0.3333 0.8333  6 Cd 2.77
10 F 0.0000 0.0000 0.0000  2 Cd 2.16
11 F 0.3333 0.6667 0.6667  2 Cd 2.16
12 F 0.6667 0.3333 0.3333  2 Cd 2.16

Results
* crystal system: trigonal
* spin magnetization: 0.0000 μB/atom

---

*d*
The following is a DFT calculation (PBE) of a relaxed Cd2AsF crystal.

Cell lengths 5.5401, 5.5401, 12.8906 Å; angles 90.00, 90.00, 90.00 degrees
With the nearest neighbours (Å) after each atom.
Element x y z (fractional)
1 Cd 0.2301 0.2500 0.1250  2 F 2.48, 2 As 2.60
2 Cd 0.2500 0.7301 0.3750  2 F 2.48, 2 As 2.60
3 Cd 0.2500 0.7699 0.8750  2 F 2.48, 2 As 2.60
4 Cd 0.2699 0.2500 0.6250  2 F 2.48, 2 As 2.60
5 Cd 0.7301 0.7500 0.6250  2 F 2.48, 2 As 2.60
6 Cd 0.7500 0.2301 0.8750  2 F 2.48, 2 As 2.60
7 Cd 0.7500 0.2699 0.3750  2 F 2.48, 2 As 2.60
8 Cd 0.7699 0.7500 0.1250  2 F 2.48, 2 As 2.60
9 As 0.0000 0.0000 0.5000  4 Cd 2.60
10 As 0.0000 0.5000 0.7500  4 Cd 2.60
11 As 0.5000 0.0000 0.2500  4 Cd 2.60
12 As 0.5000 0.5000 0.0000  4 Cd 2.60
13 F 0.0000 0.0000 0.0000  4 Cd 2.48
14 F 0.0000 0.5000 0.2500  4 Cd 2.48
15 F 0.5000 0.0000 0.7500  4 Cd 2.48
16 F 0.5000 0.5000 0.5000  4 Cd 2.48

Results
* crystal system: tetragonal
* spin magnetization: 0.0000 μB/atom

---

What are the relative energies? In meV/atom: *a* 0; *b* 170; *c* 63; *d* 57.

---

*a*
The following is a DFT calculation (PBE) of a relaxed CdAs2F8 crystal.

Cell lengths 6.2583, 6.2583, 5.1248 Å; angles 97.20, 97.20, 75.05 degrees
With the nearest neighbours (Å) after each atom.
Element x y z (fractional)
1 Cd 0.0000 0.0000 0.0000  2 F 2.09
2 As 0.2863 0.2863 0.4771  3 F 1.82-1.85
3 As 0.7137 0.7137 0.5229  3 F 1.82-1.85
4 F 0.0123 0.3437 0.2824  1 As 1.85
5 F 0.1252 0.1252 0.7076  1 Cd 2.09, 1 As 2.13
6 F 0.3437 0.0123 0.2824  1 As 1.85
7 F 0.3996 0.3996 0.2307  1 As 1.82
8 F 0.6004 0.6004 0.7693  1 As 1.82
9 F 0.6563 0.9877 0.7176  1 As 1.85
10 F 0.8748 0.8748 0.2924  1 Cd 2.09, 1 As 2.13
11 F 0.9877 0.6563 0.7176  1 As 1.85

Results
* crystal system: monoclinic
* spin magnetization: 0.0000 μB/atom

---

*b*
The following is a DFT calculation (PBE) of a relaxed CdAs2F8 crystal.

Cell lengths 7.1343, 7.1343, 10.9024 Å; angles 113.85, 113.85, 48.64 degrees
With the nearest neighbours (Å) after each atom.
Element x y z (fractional)
1 Cd 0.1573 0.8427 0.7500  6 F 2.24-2.41
2 Cd 0.8427 0.1573 0.2500  6 F 2.24-2.41
3 As 0.2221 0.5258 0.3727  3 F 1.80-1.97
4 As 0.4742 0.7779 0.1273  3 F 1.80-1.97
5 As 0.5258 0.2221 0.8727  3 F 1.80-1.97
6 As 0.7779 0.4742 0.6273  3 F 1.80-1.97
7 F 0.0146 0.2555 0.7469  1 As 1.84
8 F 0.0375 0.7818 0.5219  1 As 1.97
9 F 0.2182 0.9625 0.9781  1 As 1.97
10 F 0.2555 0.0146 0.2469  1 As 1.84
11 F 0.2685 0.4600 0.7393  1 As 2.02, 1 Cd 2.25
12 F 0.3355 0.6122 0.0748  1 As 1.80
13 F 0.3878 0.6645 0.4252  1 As 1.80
14 F 0.4600 0.2685 0.2393  1 As 2.02, 1 Cd 2.25
15 F 0.5400 0.7315 0.7607  1 As 2.02, 1 Cd 2.25
16 F 0.6122 0.3355 0.5748  1 As 1.80
17 F 0.6645 0.3878 0.9252  1 As 1.80
18 F 0.7315 0.5400 0.2607  1 As 2.02, 1 Cd 2.25
19 F 0.7445 0.9854 0.7531  1 As 1.84
20 F 0.7818 0.0375 0.0219  1 As 1.97
21 F 0.9625 0.2182 0.4781  1 As 1.97
22 F 0.9854 0.7445 0.2531  1 As 1.84

Results
* crystal system: monoclinic
* spin magnetization: 0.0000 μB/atom

---

What are the relative energies? In meV/atom: *a* 36; *b* 0.

---

*a*
The following is a DFT calculation (PBE) of a relaxed CdAs3F crystal.

Cell lengths 5.1501, 5.1501, 5.1501 Å; angles 90.00, 90.00, 90.00 degrees
With the nearest neighbours (Å) after each atom.
Element x y z (fractional)
1 Cd 0.0000 0.0000 0.0000  6 As 2.58
2 As 0.0000 0.0000 0.5000  2 Cd 2.58
3 As 0.0000 0.5000 0.0000  2 Cd 2.58
4 As 0.5000 0.0000 0.0000  2 Cd 2.58
5 F 0.5000 0.5000 0.5000  12 As 3.64

Results
* crystal system: cubic
* spin magnetization: 0.0000 μB/atom

---

*b*
The following is a DFT calculation (PBE) of a relaxed CdAs3F crystal.

Cell lengths 4.6354, 4.6354, 4.6354 Å; angles 90.00, 90.00, 90.00 degrees
With the nearest neighbours (Å) after each atom.
Element x y z (fractional)
1 Cd 0.0000 0.0000 0.0000  12 As 3.28
2 As 0.0000 0.5000 0.5000  2 F 2.32
3 As 0.5000 0.0000 0.5000  2 F 2.32
4 As 0.5000 0.5000 0.0000  2 F 2.32
5 F 0.5000 0.5000 0.5000  6 As 2.32

Results
* crystal system: cubic
* spin magnetization: 0.0000 μB/atom

---

What are the relative energies? In meV/atom: *a* 546; *b* 0.

---

*a*
The following is a DFT calculation (PBE) of a relaxed CdAsN2F crystal.

Cell lengths 4.3445, 4.3445, 4.2258 Å; angles 90.00, 90.00, 90.00 degrees
With the nearest neighbours (Å) after each atom.
Element x y z (fractional)
1 Cd 0.0000 0.0000 0.0000  2 F 2.11, 4 N 2.17
2 As 0.5000 0.5000 0.5000  8 N 3.03, 4 F 3.07
3 N 0.0000 0.5000 0.0000  2 Cd 2.17
4 N 0.5000 0.0000 0.0000  2 Cd 2.17
5 F 0.0000 0.0000 0.5000  2 Cd 2.11

Results
* crystal system: tetragonal
* spin magnetization: 0.2826 μB/atom

---

*b*
The following is a DFT calculation (PBE) of a relaxed CdAsN2F crystal.

Cell lengths 3.8646, 3.8646, 4.0690 Å; angles 90.00, 90.00, 90.00 degrees
With the nearest neighbours (Å) after each atom.
Element x y z (fractional)
1 Cd 0.0000 0.0000 0.0000  4 F 2.73, 8 N 2.81
2 As 0.5000 0.5000 0.5000  4 N 1.93, 2 F 2.03
3 N 0.0000 0.5000 0.5000  2 As 1.93
4 N 0.5000 0.0000 0.5000  2 As 1.93
5 F 0.5000 0.5000 0.0000  2 As 2.03

Results
* crystal system: tetragonal
* spin magnetization: 0.0000 μB/atom

---

What are the relative energies? In meV/atom: *a* 872; *b* 0.